No. 1
This record from Alexandria via LeMat-Bulk describes Co3Cu after structural relaxation. The functional is PBE.

## Properties
Space-group type: R-3m
Energy relative to the elements, eV/atom: 0.05
Crystal system: trigonal
Calculated volume, Å³/f.u.: 44.5

Lattice parameters (Å, degrees): 2.4921 2.4921 24.8385 90.00 90.00 120.00
Element x y z (fractional)
1 Co 0.0000 0.0000 0.0000
2 Co 0.0000 0.0000 0.2526
3 Co 0.0000 0.0000 0.7474
4 Co 0.3333 0.6667 0.4141
5 Co 0.3333 0.6667 0.6667
6 Co 0.3333 0.6667 0.9192
7 Co 0.6667 0.3333 0.0808
8 Co 0.6667 0.3333 0.3333
9 Co 0.6667 0.3333 0.5859
10 Cu 0.0000 0.0000 0.5000
11 Cu 0.3333 0.6667 0.1667
12 Cu 0.6667 0.3333 0.8333

---

No. 2
This record from Alexandria via LeMat-Bulk describes CuSeO5 after structural relaxation. The functional is PBE.

## Properties
Space-group type: P2_1/c
Uncorrected formation energy, kJ/mol of atoms: -38.07
Crystal system: monoclinic
Calculated volume, Å³/f.u.: 112.9

Lattice parameters (Å, degrees): 6.2018 9.0692 9.6403 90.00 123.60 90.00
Element x y z (fractional)
1 Cu 0.1525 0.1327 0.0136
2 Cu 0.1525 0.3673 0.5136
3 Cu 0.8475 0.6327 0.4864
4 Cu 0.8475 0.8673 0.9864
5 Se 0.2433 0.6294 0.3323
6 Se 0.2433 0.8706 0.8323
7 Se 0.7567 0.1294 0.1677
8 Se 0.7567 0.3706 0.6677
9 O 0.1133 0.7044 0.7628
10 O 0.1133 0.7956 0.2628
11 O 0.1323 0.5787 0.4678
12 O 0.1323 0.9213 0.9678
13 O 0.2027 0.1697 0.6058
14 O 0.2027 0.3303 0.1058
15 O 0.2592 0.0687 0.5423
16 O 0.2592 0.4313 0.0423
17 O 0.4400 0.1691 0.0004
18 O 0.4400 0.3309 0.5004
19 O 0.5600 0.6691 0.4996
20 O 0.5600 0.8309 0.9996
21 O 0.7408 0.5687 0.9577
22 O 0.7408 0.9313 0.4577
23 O 0.7973 0.6697 0.8942
24 O 0.7973 0.8303 0.3942
25 O 0.8677 0.0787 0.0322
26 O 0.8677 0.4213 0.5322
27 O 0.8867 0.2044 0.7372
28 O 0.8867 0.2956 0.2372

---

No. 3
This record from Alexandria via LeMat-Bulk describes BaLaF3 after structural relaxation. The functional is PBE.

## Properties
Space-group type: Pm-3m
Uncorrected formation energy, kJ/mol of atoms: -245.17
Crystal system: cubic
Calculated volume, Å³/f.u.: 130.2

Lattice parameters (Å, degrees): 5.0682 5.0682 5.0682 90.00 90.00 90.00
Element x y z (fractional)
1 Ba 0.0000 0.0000 0.0000
2 La 0.5000 0.5000 0.5000
3 F 0.0000 0.0000 0.5000
4 F 0.0000 0.5000 0.0000
5 F 0.5000 0.0000 0.0000

---

No. 4
This record from Alexandria via LeMat-Bulk describes Cs3Nd2US6 after structural relaxation. The functional is PBE.

## Properties
Space-group type: C2/m
Uncorrected formation energy, kJ/mol of atoms: -157.72
Crystal system: monoclinic
Calculated volume, Å³/f.u.: 373.8

Lattice parameters (Å, degrees): 7.2965 7.2965 8.4636 98.27 98.27 120.00
Element x y z (fractional)
1 Cs 0.0000 0.0000 0.0000
2 Cs 0.3309 0.6691 0.0000
3 Cs 0.6691 0.3309 0.0000
4 Nd 0.1665 0.8335 0.5000
5 Nd 0.8335 0.1665 0.5000
6 U 0.5000 0.5000 0.5000
7 S 0.1131 0.4382 0.3147
8 S 0.2371 0.2371 0.6862
9 S 0.4382 0.1131 0.3147
10 S 0.5618 0.8869 0.6853
11 S 0.7629 0.7629 0.3138
12 S 0.8869 0.5618 0.6853

---

No. 5
This record from Alexandria via LeMat-Bulk describes NaTl2GeO6 after structural relaxation. The functional is PBE.

## Properties
Space-group type: R3
Uncorrected formation energy, kJ/mol of atoms: -94.99
Crystal system: trigonal
Calculated volume, Å³/f.u.: 133.0

Lattice parameters (Å, degrees): 5.9188 5.9188 5.9188 55.98 55.98 55.98
Element x y z (fractional)
1 Na 0.0000 0.0000 0.0000
2 Tl 0.2737 0.2737 0.2737
3 Tl 0.7869 0.7869 0.7869
4 Ge 0.4847 0.4847 0.4847
5 O 0.1334 0.6694 0.4000
6 O 0.2436 0.5840 0.8297
7 O 0.4000 0.1334 0.6694
8 O 0.5840 0.8297 0.2436
9 O 0.6694 0.4000 0.1334
10 O 0.8297 0.2436 0.5840

---

No. 6
This record from Alexandria via LeMat-Bulk describes ErThTlCu after structural relaxation. The functional is PBE.

## Properties
Space-group type: F-43m
Energy relative to the elements, eV/atom: -0.09
Crystal system: cubic
Calculated volume, Å³/f.u.: 102.4

Lattice parameters (Å, degrees): 7.4261 7.4261 7.4261 90.00 90.00 90.00
Element x y z (fractional)
1 Er 0.0000 0.0000 0.0000
2 Er 0.0000 0.5000 0.5000
3 Er 0.5000 0.0000 0.5000
4 Er 0.5000 0.5000 0.0000
5 Th 0.0000 0.0000 0.5000
6 Th 0.0000 0.5000 0.0000
7 Th 0.5000 0.0000 0.0000
8 Th 0.5000 0.5000 0.5000
9 Tl 0.2500 0.2500 0.2500
10 Tl 0.2500 0.7500 0.7500
11 Tl 0.7500 0.2500 0.7500
12 Tl 0.7500 0.7500 0.2500
13 Cu 0.2500 0.2500 0.7500
14 Cu 0.2500 0.7500 0.2500
15 Cu 0.7500 0.2500 0.2500
16 Cu 0.7500 0.7500 0.7500

---

No. 7
This record from Alexandria via LeMat-Bulk describes Pa3PdSe2O6 after structural relaxation. The functional is PBE.

## Properties
Space-group type: C2/m
Uncorrected formation energy, kJ/mol of atoms: -242.51
Crystal system: monoclinic
Calculated volume, Å³/f.u.: 270.9

Lattice parameters (Å, degrees): 7.1862 7.1862 6.1382 105.82 105.82 64.53
Element x y z (fractional)
1 Pa 0.0000 0.0000 0.0000
2 Pa 0.0000 0.5000 0.5000
3 Pa 0.5000 0.0000 0.5000
4 Pd 0.5000 0.5000 0.5000
5 Se 0.1815 0.1815 0.7865
6 Se 0.8185 0.8185 0.2135
7 O 0.0969 0.7086 0.7694
8 O 0.2914 0.9031 0.2306
9 O 0.3227 0.3227 0.4342
10 O 0.6773 0.6773 0.5658
11 O 0.7086 0.0969 0.7694
12 O 0.9031 0.2914 0.2306

---

No. 8
This record from Alexandria via LeMat-Bulk describes MgNCl3 after structural relaxation. The functional is PBE.

## Properties
Space-group type: Pm-3m
Uncorrected formation energy, kJ/mol of atoms: 16.84
Crystal system: cubic
Calculated volume, Å³/f.u.: 122.4

Lattice parameters (Å, degrees): 4.9648 4.9648 4.9648 90.00 90.00 90.00
Element x y z (fractional)
1 Mg 0.0000 0.0000 0.0000
2 N 0.5000 0.5000 0.5000
3 Cl 0.0000 0.0000 0.5000
4 Cl 0.0000 0.5000 0.0000
5 Cl 0.5000 0.0000 0.0000

---

No. 9
This record from Alexandria via LeMat-Bulk describes BTe3Ir after structural relaxation. The functional is PBE.

## Properties
Space-group type: Pm-3m
Uncorrected formation energy, kJ/mol of atoms: 108.58
Crystal system: cubic
Calculated volume, Å³/f.u.: 102.4

Lattice parameters (Å, degrees): 4.6784 4.6784 4.6784 90.00 90.00 90.00
Element x y z (fractional)
1 B 0.0000 0.0000 0.0000
2 Te 0.0000 0.0000 0.5000
3 Te 0.0000 0.5000 0.0000
4 Te 0.5000 0.0000 0.0000
5 Ir 0.5000 0.5000 0.5000

---

No. 10
This record from Alexandria via LeMat-Bulk describes Cd2AgCl after structural relaxation. The functional is PBE.

## Properties
Space-group type: Pm
Uncorrected formation energy, kJ/mol of atoms: -19.08
Crystal system: monoclinic
Calculated volume, Å³/f.u.: 90.0

Lattice parameters (Å, degrees): 3.2355 3.3981 8.1860 90.00 90.04 90.00
Element x y z (fractional)
1 Cd 0.0000 0.0000 0.0000
2 Cd 0.4949 0.5000 0.7443
3 Ag 0.9931 0.0000 0.5254
4 Cl 0.9884 0.5000 0.2583

---

No. 11
This record from Alexandria via LeMat-Bulk describes ScPa6Se12 after structural relaxation. The functional is PBE.

## Properties
Space-group type: R-3
Uncorrected formation energy, kJ/mol of atoms: -127.34
Crystal system: trigonal
Calculated volume, Å³/f.u.: 522.1

Lattice parameters (Å, degrees): 8.1958 8.1958 8.1958 99.97 99.97 99.97
Element x y z (fractional)
1 Sc 0.0000 0.0000 0.0000
2 Pa 0.1317 0.6353 0.3042
3 Pa 0.3042 0.1317 0.6353
4 Pa 0.3647 0.6958 0.8683
5 Pa 0.6353 0.3042 0.1317
6 Pa 0.6958 0.8683 0.3647
7 Pa 0.8683 0.3647 0.6958
8 Se 0.0300 0.6788 0.9335
9 Se 0.0665 0.9700 0.3212
10 Se 0.1780 0.4246 0.5659
11 Se 0.3212 0.0665 0.9700
12 Se 0.4246 0.5659 0.1780
13 Se 0.4341 0.8220 0.5754
14 Se 0.5659 0.1780 0.4246
15 Se 0.5754 0.4341 0.8220
16 Se 0.6788 0.9335 0.0300
17 Se 0.8220 0.5754 0.4341
18 Se 0.9335 0.0300 0.6788
19 Se 0.9700 0.3212 0.0665

---

No. 12
This record from Alexandria via LeMat-Bulk describes Zn2FeAs after structural relaxation. The functional is PBE.

## Properties
Space-group type: Cmmm
Energy relative to the elements, eV/atom: 0.15
Crystal system: orthorhombic
Calculated volume, Å³/f.u.: 61.2

Lattice parameters (Å, degrees): 3.8298 3.8616 8.2783 90.00 90.00 90.00
Element x y z (fractional)
1 Zn 0.0000 0.0000 0.2135
2 Zn 0.0000 0.0000 0.7865
3 Zn 0.5000 0.5000 0.2135
4 Zn 0.5000 0.5000 0.7865
5 Fe 0.0000 0.5000 0.0000
6 Fe 0.5000 0.0000 0.0000
7 As 0.0000 0.5000 0.5000
8 As 0.5000 0.0000 0.5000

---

No. 13
This record from Alexandria via LeMat-Bulk describes TaNi3Os after structural relaxation. The functional is PBE.

## Properties
Space-group type: Pm-3m
Energy relative to the elements, eV/atom: 1.45
Crystal system: cubic
Calculated volume, Å³/f.u.: 85.2

Lattice parameters (Å, degrees): 4.4003 4.4003 4.4003 90.00 90.00 90.00
Element x y z (fractional)
1 Ta 0.0000 0.0000 0.0000
2 Ni 0.0000 0.5000 0.5000
3 Ni 0.5000 0.0000 0.5000
4 Ni 0.5000 0.5000 0.0000
5 Os 0.5000 0.5000 0.5000

---

No. 14
This record from Alexandria via LeMat-Bulk describes NpGa3Ir3 after structural relaxation. The functional is PBE.

## Properties
Space-group type: R-3
Energy relative to the elements, eV/atom: -0.37
Crystal system: trigonal
Calculated volume, Å³/f.u.: 120.1

Lattice parameters (Å, degrees): 7.2670 7.2670 7.2670 55.05 55.05 55.05
Element x y z (fractional)
1 Np 0.1622 0.1622 0.1622
2 Np 0.8378 0.8378 0.8378
3 Ga 0.0369 0.6000 0.2439
4 Ga 0.2439 0.0369 0.6000
5 Ga 0.4000 0.7561 0.9631
6 Ga 0.6000 0.2439 0.0369
7 Ga 0.7561 0.9631 0.4000
8 Ga 0.9631 0.4000 0.7561
9 Ir 0.1870 0.6947 0.4250
10 Ir 0.3053 0.5750 0.8130
11 Ir 0.4250 0.1870 0.6947
12 Ir 0.5750 0.8130 0.3053
13 Ir 0.6947 0.4250 0.1870
14 Ir 0.8130 0.3053 0.5750

---

No. 15
This record from Alexandria via LeMat-Bulk describes LaGa3Ag after structural relaxation. The functional is PBE.

## Properties
Space-group type: Pm-3m
Energy relative to the elements, eV/atom: -0.03
Crystal system: cubic
Calculated volume, Å³/f.u.: 124.0

Lattice parameters (Å, degrees): 4.9867 4.9867 4.9867 90.00 90.00 90.00
Element x y z (fractional)
1 La 0.0000 0.0000 0.0000
2 Ga 0.0000 0.5000 0.5000
3 Ga 0.5000 0.0000 0.5000
4 Ga 0.5000 0.5000 0.0000
5 Ag 0.5000 0.5000 0.5000

---

No. 16
This record from Alexandria via LeMat-Bulk describes ReCl3 after structural relaxation. The functional is PBE.

## Properties
Space-group type: Pmm2
Uncorrected formation energy, kJ/mol of atoms: 35.89
Crystal system: orthorhombic
Calculated volume, Å³/f.u.: 84.6

Lattice parameters (Å, degrees): 2.8430 3.4963 8.5126 90.00 90.00 90.00
Element x y z (fractional)
1 Re 0.0000 0.0000 0.0000
2 Cl 0.0000 0.5000 0.8251
3 Cl 0.5000 0.0000 0.5015
4 Cl 0.5000 0.5000 0.1609

---

No. 17
This record from Alexandria via LeMat-Bulk describes LiPtI after structural relaxation. The functional is PBE.

## Properties
Space-group type: I-4m2
Uncorrected formation energy, kJ/mol of atoms: -17.15
Crystal system: tetragonal
Calculated volume, Å³/f.u.: 66.5

Lattice parameters (Å, degrees): 4.0029 4.0029 8.2975 90.00 90.00 90.00
Element x y z (fractional)
1 Li 0.0000 0.0000 0.0000
2 Li 0.5000 0.5000 0.5000
3 Pt 0.0000 0.5000 0.7500
4 Pt 0.5000 0.0000 0.2500
5 I 0.0000 0.5000 0.2500
6 I 0.5000 0.0000 0.7500

---

No. 18
This record from Alexandria via LeMat-Bulk describes Na2TbInTe4 after structural relaxation. The functional is PBE.

## Properties
Space-group type: P2/m
Uncorrected formation energy, kJ/mol of atoms: -87.24
Crystal system: monoclinic
Calculated volume, Å³/f.u.: 255.1

Lattice parameters (Å, degrees): 7.6882 4.3634 8.0244 90.00 108.64 90.00
Element x y z (fractional)
1 Na 0.0000 0.0000 0.0000
2 Na 0.5000 0.5000 0.0000
3 Tb 0.0000 0.5000 0.5000
4 In 0.5000 0.0000 0.5000
5 Te 0.2428 0.0000 0.7353
6 Te 0.2687 0.5000 0.2773
7 Te 0.7313 0.5000 0.7227
8 Te 0.7572 0.0000 0.2647

---

No. 19
This record from Alexandria via LeMat-Bulk describes Mn2AlSn2 after structural relaxation. The functional is PBE.

## Properties
Space-group type: P4/mbm
Energy relative to the elements, eV/atom: 0.14
Crystal system: tetragonal
Calculated volume, Å³/f.u.: 94.6

Lattice parameters (Å, degrees): 6.7902 6.7902 4.1042 90.00 90.00 90.00
Element x y z (fractional)
1 Mn 0.1420 0.3580 0.0000
2 Mn 0.3580 0.8580 0.0000
3 Mn 0.6420 0.1420 0.0000
4 Mn 0.8580 0.6420 0.0000
5 Al 0.0000 0.0000 0.0000
6 Al 0.5000 0.5000 0.0000
7 Sn 0.1647 0.6647 0.5000
8 Sn 0.3353 0.1647 0.5000
9 Sn 0.6647 0.8353 0.5000
10 Sn 0.8353 0.3353 0.5000

---

No. 20
This record from Alexandria via LeMat-Bulk describes Te2MoS after structural relaxation. The functional is PBE.

## Properties
Space-group type: R-3m
Uncorrected formation energy, kJ/mol of atoms: 92.10
Crystal system: trigonal
Calculated volume, Å³/f.u.: 90.3

Lattice parameters (Å, degrees): 3.3100 3.3100 28.5567 90.00 90.00 120.00
Element x y z (fractional)
1 Te 0.0000 0.0000 0.0923
2 Te 0.0000 0.0000 0.9077
3 Te 0.3333 0.6667 0.5744
4 Te 0.3333 0.6667 0.7590
5 Te 0.6667 0.3333 0.2410
6 Te 0.6667 0.3333 0.4256
7 Mo 0.0000 0.0000 0.0000
8 Mo 0.3333 0.6667 0.6667
9 Mo 0.6667 0.3333 0.3333
10 S 0.0000 0.0000 0.5000
11 S 0.3333 0.6667 0.1667
12 S 0.6667 0.3333 0.8333

---

No. 21
This record from Alexandria via LeMat-Bulk describes Te4OsAu after structural relaxation. The functional is PBE.

## Properties
Space-group type: F-43m
Uncorrected formation energy, kJ/mol of atoms: 140.09
Crystal system: cubic
Calculated volume, Å³/f.u.: 164.4

Lattice parameters (Å, degrees): 6.1484 6.1484 6.1484 60.00 60.00 60.00
Element x y z (fractional)
1 Te 0.1252 0.1252 0.1252
2 Te 0.1252 0.1252 0.6244
3 Te 0.1252 0.6244 0.1252
4 Te 0.6244 0.1252 0.1252
5 Os 0.5000 0.5000 0.5000
6 Au 0.7500 0.7500 0.7500

---

No. 22
This record from Alexandria via LeMat-Bulk describes La6TbSm after structural relaxation. The functional is PBE.

## Properties
Space-group type: P4/mmm
Energy relative to the elements, eV/atom: 0.01
Crystal system: tetragonal
Calculated volume, Å³/f.u.: 284.5

Lattice parameters (Å, degrees): 5.2212 5.2212 10.4344 90.00 90.00 90.00
Element x y z (fractional)
1 La 0.0000 0.0000 0.0000
2 La 0.0000 0.0000 0.5000
3 La 0.0000 0.5000 0.2492
4 La 0.0000 0.5000 0.7508
5 La 0.5000 0.0000 0.2492
6 La 0.5000 0.0000 0.7508
7 Tb 0.5000 0.5000 0.0000
8 Sm 0.5000 0.5000 0.5000

---

No. 23
This record from Alexandria via LeMat-Bulk describes MnH7Rh5 after structural relaxation. The functional is PBE.

## Properties
Space-group type: P-1
Crystal system: triclinic
Calculated volume, Å³/f.u.: 113.9
Calculated total energy, eV per atom: -5.279

Lattice parameters (Å, degrees): 3.4356 5.6281 11.8487 83.98 89.97 89.74
Element x y z (fractional)
1 Mn 0.0064 0.0791 0.2411
2 Mn 0.9936 0.9209 0.7589
3 H 0.0000 0.1985 0.5803
4 H 0.0000 0.8015 0.4197
5 H 0.0042 0.3626 0.3637
6 H 0.0102 0.3694 0.1231
7 H 0.0131 0.7393 0.1814
8 H 0.2662 0.2837 0.9699
9 H 0.3779 0.3304 0.7012
10 H 0.4617 0.8454 0.5515
11 H 0.5383 0.1546 0.4485
12 H 0.6221 0.6696 0.2988
13 H 0.7338 0.7163 0.0301
14 H 0.9869 0.2607 0.8186
15 H 0.9898 0.6306 0.8769
16 H 0.9958 0.6374 0.6363
17 Rh 0.0000 0.0000 0.0000
18 Rh 0.0000 0.5000 0.5000
19 Rh 0.4894 0.2184 0.8411
20 Rh 0.4934 0.6892 0.9009
21 Rh 0.4973 0.6324 0.6709
22 Rh 0.4982 0.8652 0.4000
23 Rh 0.5018 0.1348 0.6000
24 Rh 0.5027 0.3676 0.3291
25 Rh 0.5066 0.3108 0.0991
26 Rh 0.5106 0.7816 0.1589